1.
First-principles (GGA-PBE) data for a relaxed LiPmErCr crystal, as listed in Alexandria via LeMat-Bulk.

Output
For the formation enthalpy at 0 K, the calculation gives 189 meV per atom.

Cell lengths 7.2432, 7.2432, 7.2432 Å; angles 90.00, 90.00, 90.00 degrees
Space group F-43m (No. 216)
Asymmetric unit:
Li: 0.0000 0.0000 0.0000 (multiplicity 4)
Pm: 0.2500 0.2500 0.2500 (multiplicity 4)
Er: 0.2500 0.2500 0.7500 (multiplicity 4)
Cr: 0.0000 0.0000 0.5000 (multiplicity 4)

2.
First-principles (GGA-PBE) data for a relaxed Li3ErCr2S6 crystal, as listed in Alexandria via LeMat-Bulk.

Output
Its uncorrected formation energy is -1.254 eV per atom.

Cell lengths 6.2564, 10.8350, 6.4347 Å; angles 90.00, 108.91, 90.00 degrees
Space group C2/m (No. 12)
Asymmetric unit:
Li: 0.0000 0.0000 0.0000 (multiplicity 2)
Li: 0.0000 0.3339 0.0000 (multiplicity 4)
Er: 0.0000 0.5000 0.5000 (multiplicity 2)
Cr: 0.0000 0.1669 0.5000 (multiplicity 4)
S: 0.2162 0.0000 0.7345 (multiplicity 4)
S: 0.2418 0.1814 0.2685 (multiplicity 8)

Ordered total magnetization results: 0.7748; 0.5000; unit μB/atom.